(1)
Here is crystalline Bi3ClO3 at its relaxed geometry from Alexandria via LeMat-Bulk. Energies are from PBE.

Lattice parameters (Å, degrees): 6.9227 6.9227 8.2534 65.20 65.20 60.00
Fractional coordinates of all 14 atoms:
1 Bi 0.1899 0.6176 0.3008
2 Bi 0.8917 0.1899 0.3008
3 Bi 0.6176 0.8917 0.3008
4 Bi 0.3824 0.1083 0.6992
5 Bi 0.1083 0.8101 0.6992
6 Bi 0.8101 0.3824 0.6992
7 Cl 0.3327 0.3327 0.0018
8 Cl 0.6673 0.6673 0.9982
9 O 0.5085 0.7790 0.6098
10 O 0.7790 0.1026 0.6098
11 O 0.1026 0.5085 0.6098
12 O 0.8974 0.4914 0.3902
13 O 0.2210 0.8974 0.3902
14 O 0.4914 0.2210 0.3902

Raw total energy: -70.2 eV for the cell shown


(2)
Here is crystalline Bi2ClO2 at its relaxed geometry from Alexandria via LeMat-Bulk. Energies are from PBE.

Lattice parameters (Å, degrees): 5.9114 5.8684 7.0685 107.33 102.76 112.07
Fractional coordinates of all 10 atoms:
1 Bi 0.8160 0.1969 0.2314
2 Bi 0.5331 0.4139 0.7309
3 Bi 0.4669 0.5861 0.2691
4 Bi 0.1840 0.8031 0.7686
5 Cl 0.1182 0.8676 0.2454
6 Cl 0.8818 0.1324 0.7546
7 O 0.5118 0.2639 0.0314
8 O 0.2667 0.5186 0.5299
9 O 0.4882 0.7361 0.9686
10 O 0.7333 0.4814 0.4701

Raw total energy: -48.7 eV for the cell shown
Energy above the most stable polymorph in this dataset: 56 meV per atom


(3)
Here is crystalline BiCl2O at its relaxed geometry from Alexandria via LeMat-Bulk. Energies are from PBE.

Lattice parameters (Å, degrees): 10.0541 10.0541 7.4137 47.31 47.31 90.00
Fractional coordinates of all 8 atoms:
1 Bi 0.0000 0.0000 0.0000
2 Bi 0.7500 0.2500 0.5000
3 O 0.5000 0.5000 0.0000
4 O 0.2500 0.7500 0.5000
5 Cl 0.7766 0.1250 0.2500
6 Cl 0.9734 0.6250 0.2500
7 Cl 0.3750 0.2234 0.7500
8 Cl 0.8750 0.0266 0.7500

Raw total energy: -29.9 eV for the cell shown
Energy above the most stable polymorph in this dataset: 0 meV per atom